(1)
{
  "formula": "CsRb2TcI8",
  "functional": "GGA-PBE",
  "state": "relaxed",
  "lattice": [[-7.2581, -2.9137, 1.6803], [1.0551, -5.1210, -4.2264], [4.4157, -7.5609, 5.8657]],
  "species": ["Cs", "Rb", "Rb", "Tc", "I", "I", "I", "I", "I", "I", "I", "I"],
  "frac_coords": [[0.0000, 0.0000, 0.5000], [0.4980, 0.3270, 0.8224], [0.5020, 0.6730, 0.1776], [0.0000, 0.0000, 0.0000], [0.0007, 0.6632, 0.2154], [0.7580, 0.8296, 0.8743], [0.7580, 0.1717, 0.1252], [0.9993, 0.3368, 0.7846], [0.2420, 0.1704, 0.1257], [0.2420, 0.8283, 0.8748], [0.5003, 0.7503, 0.5067], [0.4997, 0.2497, 0.4933]],
  "total_energy_ev_per_cell": -34.9
}

---

(2)
{
  "formula": "CsRbTe2I",
  "functional": "GGA-PBE",
  "state": "relaxed",
  "lattice": [[-6.0891, -2.5465, 1.6845], [-1.5750, -0.5999, -6.5999], [2.6497, -6.3712, -0.0532]],
  "species": ["Cs", "I", "Te", "Te", "Rb"],
  "frac_coords": [[0.5000, 0.5000, 0.5000], [0.0000, 0.0000, 0.5000], [0.0000, 0.5000, 0.0000], [0.5000, 0.0000, 0.0000], [0.0000, 0.0000, 0.0000]],
  "relative_energy_ev_per_atom": 0.000,
  "total_energy_ev_per_cell": -10.9
}

---

(3)
{
  "formula": "CsRb2TeI6",
  "functional": "GGA-PBE",
  "state": "relaxed",
  "lattice": [[9.5323, 0.0000, 0.0000], [0.0000, 9.5323, 0.0000], [4.7662, 4.7662, 6.5151]],
  "species": ["Cs", "I", "I", "I", "I", "I", "I", "Te", "Rb", "Rb"],
  "frac_coords": [[0.0000, 0.0000, 0.0000], [0.2752, 0.2752, 0.4495], [0.7248, 0.7248, 0.5505], [0.2661, 0.2661, 0.0000], [0.7339, 0.7339, 0.0000], [0.7339, 0.2661, 0.0000], [0.2661, 0.7339, 0.0000], [0.5000, 0.5000, 0.0000], [0.7500, 0.2500, 0.5000], [0.2500, 0.7500, 0.5000]],
  "total_energy_ev_per_cell": -23.0
}

---

(4)
{
  "formula": "CsRbTe2I",
  "functional": "GGA-PBE",
  "state": "relaxed",
  "lattice": [[6.5218, 0.0000, 0.0000], [0.0000, 6.5218, 0.0000], [0.0000, 0.0000, 7.1929]],
  "species": ["Cs", "I", "Te", "Te", "Rb"],
  "frac_coords": [[0.0000, 0.0000, 0.0000], [0.0000, 0.0000, 0.5000], [0.0000, 0.5000, 0.0000], [0.5000, 0.0000, 0.0000], [0.5000, 0.5000, 0.5000]],
  "relative_energy_ev_per_atom": 0.127,
  "total_energy_ev_per_cell": -10.2
}

---

(5)
{
  "formula": "CsRbThI6",
  "functional": "GGA-PBE",
  "state": "relaxed",
  "lattice": [[-7.8184, 3.2091, -3.3645], [6.0695, -3.9081, -5.5348], [-6.5726, -13.5437, 2.3554]],
  "species": ["Cs", "Cs", "Rb", "Rb", "Th", "Th", "I", "I", "I", "I", "I", "I", "I", "I", "I", "I", "I", "I"],
  "frac_coords": [[0.0000, 0.0000, 0.0000], [0.0000, 0.0000, 0.5000], [0.3333, 0.6667, 0.2500], [0.6667, 0.3333, 0.7500], [0.6667, 0.3333, 0.2500], [0.3333, 0.6667, 0.7500], [0.6579, 0.6050, 0.1323], [0.9471, 0.3421, 0.1323], [0.3421, 0.9471, 0.6323], [0.0529, 0.6579, 0.8677], [0.3950, 0.3421, 0.3677], [0.9471, 0.6050, 0.3677], [0.6050, 0.9471, 0.8677], [0.6579, 0.0529, 0.3677], [0.0529, 0.3950, 0.6323], [0.3950, 0.0529, 0.1323], [0.6050, 0.6579, 0.6323], [0.3421, 0.3950, 0.8677]],
  "total_energy_ev_per_cell": -62.1
}

---

(6)
{
  "formula": "Cs2RbThI8",
  "functional": "GGA-PBE",
  "state": "relaxed",
  "lattice": [[-3.1384, 1.7639, 7.5592], [3.1655, -6.6522, 2.5223], [9.4506, 5.4468, 2.6326]],
  "species": ["Cs", "Cs", "Rb", "Th", "I", "I", "I", "I", "I", "I", "I", "I"],
  "frac_coords": [[0.4996, 0.4985, 0.7716], [0.5004, 0.5015, 0.2284], [0.0000, 0.0000, 0.5000], [0.0000, 0.0000, 0.0000], [0.1072, 0.7610, 0.2035], [0.6703, 0.8149, 0.9983], [0.8901, 0.2370, 0.2023], [0.8928, 0.2390, 0.7965], [0.3297, 0.1851, 0.0017], [0.1099, 0.7630, 0.7977], [0.5314, 0.7963, 0.5001], [0.4686, 0.2037, 0.4999]],
  "total_energy_ev_per_cell": -37.3
}

---

(7)
{
  "formula": "Cs2RbThI6",
  "functional": "GGA-PBE",
  "state": "relaxed",
  "lattice": [[-2.5558, 7.0911, -4.4903], [2.8479, -4.5465, -8.8007], [-12.1289, -5.1667, -1.2557]],
  "species": ["Cs", "Cs", "Cs", "Cs", "Rb", "Rb", "Th", "Th", "I", "I", "I", "I", "I", "I", "I", "I", "I", "I", "I", "I"],
  "frac_coords": [[0.5000, 0.8244, 0.1995], [0.0000, 0.1756, 0.6995], [0.5000, 0.8244, 0.8005], [0.0000, 0.1756, 0.3005], [0.0000, 0.6923, 0.5000], [0.5000, 0.3077, 0.0000], [0.5000, 0.1972, 0.5000], [0.0000, 0.8028, 0.0000], [0.5000, 0.2002, 0.2627], [0.5000, 0.2002, 0.7373], [0.0000, 0.7998, 0.2373], [0.0000, 0.7998, 0.7627], [0.2564, 0.9737, 0.5000], [0.7436, 0.9737, 0.5000], [0.2407, 0.4055, 0.5000], [0.7593, 0.4055, 0.5000], [0.7407, 0.5945, 0.0000], [0.2593, 0.5945, 0.0000], [0.2436, 0.0263, 0.0000], [0.7564, 0.0263, 0.0000]],
  "total_energy_ev_per_cell": -64.8
}

---

(8)
{
  "formula": "Cs2RbTiI6",
  "functional": "GGA-PBE",
  "state": "relaxed",
  "lattice": [[8.4478, 0.0000, 0.0000], [0.0000, 9.7376, 0.0000], [0.0000, 0.0000, 12.6411]],
  "species": ["Cs", "Cs", "Cs", "Cs", "Rb", "Rb", "Ti", "Ti", "I", "I", "I", "I", "I", "I", "I", "I", "I", "I", "I", "I"],
  "frac_coords": [[0.5000, 0.8104, 0.2166], [0.0000, 0.1896, 0.7166], [0.5000, 0.8104, 0.7834], [0.0000, 0.1896, 0.2834], [0.0000, 0.6981, 0.5000], [0.5000, 0.3019, 0.0000], [0.5000, 0.2055, 0.5000], [0.0000, 0.7945, 0.0000], [0.5000, 0.2074, 0.2753], [0.5000, 0.2074, 0.7247], [0.0000, 0.7926, 0.2247], [0.0000, 0.7926, 0.7753], [0.2680, 0.9924, 0.5000], [0.7320, 0.9924, 0.5000], [0.2598, 0.4062, 0.5000], [0.7402, 0.4062, 0.5000], [0.7598, 0.5938, 0.0000], [0.2402, 0.5938, 0.0000], [0.2320, 0.0076, 0.0000], [0.7680, 0.0076, 0.0000]],
  "relative_energy_ev_per_atom": 0.000,
  "total_energy_ev_per_cell": -63.6
}

---

(9)
{
  "formula": "CsRbTiI6",
  "functional": "GGA-PBE",
  "state": "relaxed",
  "lattice": [[-3.4194, 3.6999, 7.1994], [-7.0330, -3.5706, 3.8730], [4.4360, -4.1380, 4.2359]],
  "species": ["Cs", "Rb", "Ti", "I", "I", "I", "I", "I", "I"],
  "frac_coords": [[0.0000, 0.0001, 0.0000], [0.6663, 0.6663, 0.5000], [0.3333, 0.3333, 0.5000], [0.0754, 0.3366, 0.2803], [0.3366, 0.0754, 0.7197], [0.5877, 0.3372, 0.7198], [0.0742, 0.5891, 0.7186], [0.3371, 0.5877, 0.2802], [0.5891, 0.0743, 0.2814]],
  "total_energy_ev_per_cell": -28.4
}

---

(10)
{
  "formula": "Cs2RbTiI6",
  "functional": "GGA-PBE",
  "state": "relaxed",
  "lattice": [[8.9197, 0.0000, 0.0000], [0.0000, 8.9197, 0.0000], [4.4598, 4.4598, 6.3072]],
  "species": ["Cs", "Cs", "I", "I", "I", "I", "I", "I", "Rb", "Ti"],
  "frac_coords": [[0.7500, 0.2500, 0.5000], [0.2500, 0.7500, 0.5000], [0.2763, 0.2763, 0.4475], [0.7237, 0.7237, 0.5525], [0.2763, 0.2763, 0.0000], [0.7237, 0.7237, 0.0000], [0.7237, 0.2763, 0.0000], [0.2763, 0.7237, 0.0000], [0.0000, 0.0000, 0.0000], [0.5000, 0.5000, 0.0000]],
  "relative_energy_ev_per_atom": 0.010,
  "total_energy_ev_per_cell": -31.7
}